# KAsPt2

A geometry-optimized KAsPt2 structure (PBE, Alexandria).

```
KAsPt2
1.0
3.135 0.009 0.000
-0.017 3.135 0.000
0.000 0.000 8.296
As K Pt
1 1 2
direct
0.500 0.500 0.250
0.500 0.500 0.750
0.000 0.000 0.066
0.000 0.000 0.434
```

Results
Formation energy, eV/atom: -0.01
Raw total energy, eV per atom: -4.4629



# BeSnPIr2

A geometry-optimized BeSnPIr2 structure (PBE, Alexandria).

```
BeSnPIr2
1.0
4.925 0.000 0.000
0.000 4.310 0.000
0.000 0.000 4.925
P Ir Sn Be
1 2 1 1
direct
0.500 0.500 0.500
0.000 0.000 0.500
0.500 0.000 0.000
0.000 0.000 0.000
0.000 0.500 0.000
```

Results
Formation energy, eV/atom: 1.77
Raw total energy, eV per atom: -4.3992



# Mn3H4Rh

A geometry-optimized Mn3H4Rh structure (PBE, Alexandria).

```
Mn3H4Rh
1.0
-2.970 0.725 -2.294
2.324 1.809 -2.437
0.972 -4.691 0.443
Mn H Rh
3 4 1
direct
0.500 0.500 0.000
0.750 0.250 0.500
0.250 0.750 0.500
0.000 0.500 0.000
0.500 0.000 0.000
0.267 0.267 0.534
0.733 0.733 0.466
0.000 0.000 0.000
```

Results
Raw total energy, eV per atom: -6.0726



# PaNb2Ga

A geometry-optimized PaNb2Ga structure (PBE, Alexandria).

```
PaNb2Ga
1.0
3.014 0.000 0.000
1.507 2.610 0.000
1.507 0.870 10.045
Pa Nb Ga
1 2 1
direct
0.500 0.500 0.499
0.075 0.075 0.775
0.258 0.258 0.226
0.667 0.667 0.000
```

Results
Formation energy, eV/atom: 0.09
Offset from the most stable computed form, meV per atom: 235
Raw total energy, eV per atom: -8.0724



# RbCr3Ru

A geometry-optimized RbCr3Ru structure (PBE, Alexandria).

```
RbCr3Ru
1.0
-1.169 -0.818 4.753
-1.255 -4.670 -1.113
4.657 -1.464 0.893
Ru Rb Cr
1 1 3
direct
0.000 0.000 0.000
0.500 0.500 0.500
0.000 0.500 0.000
0.000 0.000 0.500
0.500 0.000 0.000
```

Results
Formation energy, eV/atom: 1.23
Offset from the most stable computed form, meV per atom: 0
Raw total energy, eV per atom: -6.5970



# CeAgH2F8

A geometry-optimized CeAgH2F8 structure (PBE, Alexandria).

```
CeAgH2F8
1.0
-0.670 2.158 4.584
-3.479 -0.139 1.214
1.765 -7.909 4.133
Ce Ag H F
1 1 2 8
direct
0.000 0.000 0.000
0.000 0.000 0.500
0.505 0.462 0.774
0.495 0.538 0.226
0.247 0.804 0.795
0.729 0.660 0.983
0.689 0.217 0.774
0.753 0.196 0.205
0.271 0.340 0.017
0.311 0.783 0.226
0.746 0.634 0.488
0.254 0.366 0.512
```

Results
Raw total energy, eV per atom: -4.8120



# PmEuGa4

A geometry-optimized PmEuGa4 structure (PBE, Alexandria).

```
PmEuGa4
1.0
-3.893 -2.962 -2.787
-2.230 -4.614 2.332
-5.351 0.036 1.750
Eu Ga Pm
1 4 1
direct
0.000 0.000 0.000
0.625 0.625 0.125
0.625 0.125 0.625
0.625 0.625 0.625
0.125 0.625 0.625
0.250 0.250 0.250
```

Results
Formation energy, eV/atom: -0.53
Raw total energy, eV per atom: -5.0559



# SrNb3V

A geometry-optimized SrNb3V structure (PBE, Alexandria).

```
SrNb3V
1.0
4.863 0.000 0.000
0.000 4.863 0.000
0.000 0.000 4.863
Sr Nb V
1 3 1
direct
0.000 0.000 0.000
0.000 0.500 0.000
0.000 0.000 0.500
0.500 0.000 0.000
0.500 0.500 0.500
```

Results
Formation energy, eV/atom: 2.66
Offset from the most stable computed form, meV per atom: 1736
Raw total energy, eV per atom: -5.5425



# PmErPu2S4

A geometry-optimized PmErPu2S4 structure (PBE, Alexandria).

```
PmErPu2S4
1.0
-0.196 3.537 1.744
-1.059 -3.065 6.099
6.676 0.855 -0.984
Pm Er Pu S
1 1 2 4
direct
0.000 0.000 0.000
0.500 0.500 0.000
0.500 0.000 0.500
0.000 0.500 0.500
0.500 0.258 0.252
0.500 0.742 0.748
0.000 0.257 0.753
0.000 0.743 0.247
```

Results
Raw total energy, eV per atom: -8.7040



# CrN

A geometry-optimized CrN structure (PBE, Alexandria).

```
CrN
1.0
-0.231 -1.637 2.176
5.966 -5.135 -3.231
3.878 2.883 2.580
Cr N
6 6
direct
0.000 0.288 0.880
0.000 0.712 0.880
0.000 0.788 0.380
0.000 0.212 0.380
0.500 0.000 0.602
0.500 0.500 0.102
0.500 0.776 0.646
0.500 0.224 0.646
0.500 0.276 0.146
0.500 0.724 0.146
0.000 0.000 0.348
0.000 0.500 0.848
```

Results
Raw total energy, eV per atom: -9.2774